The following is a PBE-GGA calculation of a relaxed TaPdN2O crystal, from Alexandria.

Calculated values
**N(E_F)**: 1.9 states/eV per cell
**VASP energy**: -6.70 eV per atom
**Formation energy (no corrections)**: 1.035 eV per atom

```
5
Lattice="3.897 0.000 0.000 0.000 3.897 0.000 0.000 0.000 3.807" Properties=species:S:1:pos:R:3 pbc="T T T"
Ta 1.948 1.948 1.903
Pd 0.000 0.000 0.000
N 1.948 0.000 0.000
N 0.000 1.948 0.000
O 0.000 0.000 1.903
```